DFT (GGA-PBEsol) results for a relaxed structure of Cs2K2Na.

Output
energy of formation from the pure elements = 43 meV/atom
E_tot = -1.07 eV/atom

Cell: 7.4963 10.2131 10.2131 Å, 90.00 90.00 90.00°
Element x y z (fractional)
Cs (0.5000, 0.8211, 0.3211)
Cs (0.5000, 0.3211, 0.1789)
Cs (0.5000, 0.6789, 0.8211)
Cs (0.5000, 0.1789, 0.6789)
K (0.0000, 0.8550, 0.6450)
K (0.0000, 0.3550, 0.8550)
K (0.0000, 0.6450, 0.1450)
K (0.0000, 0.1450, 0.3550)
Na (0.0000, 0.5000, 0.5000)
Na (0.0000, 0.0000, 0.0000)